# Ca2LaNd4

An optimized crystal structure of Ca2LaNd4 (PBE-GGA, Alexandria).

Cell: 5.8173 5.8173 18.0462 Å, 90.00 90.00 90.00°
Last column: nearest neighbours and their distance in Å.
Positions (direct):
Ca: 0.0000 0.0000 0.1840  1 La 3.32
Ca: 0.0000 0.0000 0.8160  1 La 3.32
Ca: 0.5000 0.5000 0.3160  1 La 3.32
Ca: 0.5000 0.5000 0.6840  1 La 3.32
La: 0.0000 0.0000 0.0000  4 Nd 2.91
La: 0.5000 0.5000 0.5000  4 Nd 2.91
Nd: 0.0000 0.0000 0.3945  5 Nd 3.48-3.81, 1 Ca 3.80
Nd: 0.0000 0.0000 0.6055  5 Nd 3.48-3.81, 1 Ca 3.80
Nd: 0.0000 0.5000 0.0000  2 La 2.91
Nd: 0.0000 0.5000 0.5000  2 La 2.91
Nd: 0.5000 0.0000 0.0000  2 La 2.91
Nd: 0.5000 0.0000 0.5000  2 La 2.91
Nd: 0.5000 0.5000 0.1055  5 Nd 3.48-3.81, 1 Ca 3.80
Nd: 0.5000 0.5000 0.8945  5 Nd 3.48-3.81, 1 Ca 3.80

* final energy: -3.517 eV/atom
* E_form: 0.483 eV per atom
* distance to the lowest polymorph of the same formula: 2.87 eV/f.u.
* SG: No. 139